The following is a DFT calculation (PBE) of Pm2Ni6Ge3 after structural relaxation.

Computed properties:
Energy relative to the elements (eV per atom): -0.47

Unit cell a=7.0530 b=7.0530 c=4.0939 alpha=90.00 beta=90.00 gamma=120.00
Space group P-62m (No. 189)
One atom of each set of equivalent atoms:
Pm 0.3333 0.6667 0.0000 (multiplicity 2)
Ni 0.0000 0.2780 0.5000 (multiplicity 3)
Ni 0.0000 0.8038 0.0000 (multiplicity 3)
Ge 0.0000 0.6253 0.5000 (multiplicity 3)

The following is a DFT calculation (PBE) of Pm3Ni6Ge2 after structural relaxation.

Computed properties:
Energy relative to the elements (eV per atom): -0.51

Unit cell a=8.993 b=8.993 c=8.993 alpha=90.00 beta=90.00 gamma=90.00
Space group Im-3m (No. 229)
One atom of each set of equivalent atoms:
Pm 0.000 0.000 0.287 (multiplicity 12)
Ni 0.000 0.334 0.334 (multiplicity 24)
Ge 0.250 0.250 0.250 (multiplicity 8)

The following is a DFT calculation (PBE) of Pm2Ni2Ge3 after structural relaxation.

Computed properties:
Energy relative to the elements (eV per atom): -0.57
ΔE to the lowest computed polymorph (eV per formula unit): 0.94

Unit cell a=10.237 b=4.124 c=6.718 alpha=90.00 beta=112.68 gamma=90.00
Space group C2/m (No. 12)
One atom of each set of equivalent atoms:
Pm 0.149 0.000 0.283 (multiplicity 4)
Ni 0.144 0.000 0.762 (multiplicity 4)
Ge 0.000 0.500 0.500 (multiplicity 2)
Ge 0.117 0.500 0.943 (multiplicity 4)

The following is a DFT calculation (PBE) of Pm3Ni2Ge4 after structural relaxation.

Computed properties:
Energy relative to the elements (eV per atom): -0.78
ΔE to the lowest computed polymorph (eV per formula unit): 0.00

Unit cell a=11.003 b=4.185 c=8.277 alpha=90.00 beta=100.77 gamma=90.00
Space group C2/m (No. 12)
One atom of each set of equivalent atoms:
Pm 0.000 0.000 0.000 (multiplicity 2)
Pm 0.162 0.500 0.661 (multiplicity 4)
Ni 0.106 0.500 0.282 (multiplicity 4)
Ge 0.060 0.000 0.380 (multiplicity 4)
Ge 0.219 0.500 0.071 (multiplicity 4)

The following is a DFT calculation (PBE) of Pm2Ni5Ge3 after structural relaxation.

Computed properties:
Energy relative to the elements (eV per atom): -0.57
ΔE to the lowest computed polymorph (eV per formula unit): 0.00

Unit cell a=9.565 b=11.882 c=5.752 alpha=90.00 beta=90.00 gamma=90.00
Space group Ibam (No. 72)
One atom of each set of equivalent atoms:
Pm 0.243 0.130 0.000 (multiplicity 8)
Ni 0.000 0.270 0.250 (multiplicity 8)
Ni 0.000 0.500 0.250 (multiplicity 4)
Ni 0.114 0.130 0.500 (multiplicity 8)
Ge 0.000 0.000 0.250 (multiplicity 4)
Ge 0.139 0.384 0.000 (multiplicity 8)

The following is a DFT calculation (PBE) of Pm5Ni2Ge after structural relaxation.

Computed properties:
Energy relative to the elements (eV per atom): -0.39

Unit cell a=7.799 b=7.799 c=13.151 alpha=90.00 beta=90.00 gamma=90.00
Space group I4/mcm (No. 140)
One atom of each set of equivalent atoms:
Pm 0.000 0.000 0.000 (multiplicity 4)
Pm 0.162 0.338 0.142 (multiplicity 16)
Ni 0.124 0.376 0.500 (multiplicity 8)
Ge 0.000 0.000 0.250 (multiplicity 4)

The following is a DFT calculation (PBE) of PmNi2Ge3 after structural relaxation.

Computed properties:
Energy relative to the elements (eV per atom): -0.58
ΔE to the lowest computed polymorph (eV per formula unit): 0.00

Unit cell a=4.131 b=4.131 c=24.301 alpha=90.00 beta=90.00 gamma=90.00
Space group I4/mmm (No. 139)
One atom of each set of equivalent atoms:
Pm 0.000 0.000 0.153 (multiplicity 4)
Ni 0.000 0.000 0.400 (multiplicity 4)
Ni 0.000 0.500 0.250 (multiplicity 4)
Ge 0.000 0.000 0.302 (multiplicity 4)
Ge 0.000 0.500 0.052 (multiplicity 8)

The following is a DFT calculation (PBE) of PmNiGe after structural relaxation.

Computed properties:
Energy relative to the elements (eV per atom): -0.73
ΔE to the lowest computed polymorph (eV per formula unit): 0.00

Unit cell a=4.312 b=14.463 c=7.345 alpha=90.00 beta=90.00 gamma=90.00
Space group Pmmn (No. 59, origin choice 2)
One atom of each set of equivalent atoms:
Pm 0.250 0.004 0.211 (multiplicity 4)
Pm 0.250 0.250 0.295 (multiplicity 2)
Pm 0.250 0.750 0.285 (multiplicity 2)
Ni 0.250 0.141 0.922 (multiplicity 4)
Ni 0.250 0.594 0.580 (multiplicity 4)
Ge 0.250 0.101 0.591 (multiplicity 4)
Ge 0.250 0.651 0.912 (multiplicity 4)

The following is a DFT calculation (PBE) of Pm2Ni5Ge3 after structural relaxation.

Computed properties:
Energy relative to the elements (eV per atom): -0.54
ΔE to the lowest computed polymorph (eV per formula unit): 0.32

Unit cell a=4.084 b=23.546 c=6.901 alpha=90.00 beta=90.00 gamma=90.00
Space group Cmc2_1 (No. 36)
One atom of each set of equivalent atoms:
Pm 0.000 0.052 0.000 (multiplicity 4)
Pm 0.000 0.339 0.178 (multiplicity 4)
Ni 0.000 0.070 0.576 (multiplicity 4)
Ni 0.000 0.207 0.063 (multiplicity 4)
Ni 0.000 0.232 0.441 (multiplicity 4)
Ni 0.000 0.353 0.633 (multiplicity 4)
Ni 0.000 0.438 0.839 (multiplicity 4)
Ge 0.000 0.136 0.326 (multiplicity 4)
Ge 0.000 0.258 0.764 (multiplicity 4)
Ge 0.000 0.471 0.175 (multiplicity 4)

Record-wise spin magnetization values, in μB per cell: 0.00 0.00 0.00 0.00 0.00 0.00 0.00 0.00 0.00
Record-wise E_tot values, in eV/atom: -5.75 -5.80 -5.56 -5.70 -5.79 -5.38 -5.61 -5.78 -5.76